Here is Hf3TaC4 after structural relaxation from OQMD via LeMat-Bulk. Energies are from PBE. Values from VASP.

Calculated values
E ... -171.44 eV for the cell shown
Crystal system ... orthorhombic

Quantum ESPRESSO input file:
```
&SYSTEM
  ibrav = 0, nat = 16, ntyp = 3
/
ATOMIC_SPECIES
Hf 178.49 Hf.upf
Ta 180.95 Ta.upf
C 12.01 C.upf
CELL_PARAMETERS angstrom
6.5033 0.0000 0.0000
0.0000 9.1861 0.0000
0.0000 0.0000 3.2509
ATOMIC_POSITIONS angstrom
Hf 0.0000 0.0000 0.0000
Hf 1.6258 2.2965 1.6255
Hf 1.6258 6.8896 1.6255
Hf 3.2517 4.5930 0.0000
Hf 4.8775 2.2965 1.6255
Hf 4.8775 6.8896 1.6255
Ta 0.0000 4.5930 0.0000
Ta 3.2517 0.0000 0.0000
C 0.0000 2.3307 0.0000
C 0.0000 6.8553 0.0000
C 1.5832 4.5930 1.6255
C 1.6685 0.0000 1.6255
C 3.2517 2.2623 0.0000
C 3.2517 6.9238 0.0000
C 4.8349 0.0000 1.6255
C 4.9201 4.5930 1.6255
```